The following is a DFT calculation (PBE) of Nd2SmNbN4 after structural relaxation.

Cell and atoms, written as POSCAR:
```
Nd2SmNbN4
1.0
1.7351 -6.0705 0.0000
1.7351 6.0705 0.0000
0.0000 0.0000 12.5929
Nd Sm Nb N
4 2 2 8
direct
0.1314 0.8686 0.5349 Nd
0.1314 0.8686 0.9651 Nd
0.8686 0.1314 0.0349 Nd
0.8686 0.1314 0.4651 Nd
0.3972 0.6028 0.7500 Sm
0.6028 0.3972 0.2500 Sm
0.3399 0.6601 0.2500 Nb
0.6601 0.3399 0.7500 Nb
0.0531 0.9469 0.7500 N
0.2342 0.7658 0.1325 N
0.2342 0.7658 0.3675 N
0.5000 0.5000 0.0000 N
0.5000 0.5000 0.5000 N
0.7658 0.2342 0.6325 N
0.7658 0.2342 0.8675 N
0.9469 0.0531 0.2500 N
```

Values from the calculation:
- Space-group type: No. 63
- Formation energy from raw total energies: -8.656 eV per formula unit


The following is a DFT calculation (PBE) of Sr2NdNbN4 after structural relaxation.

Cell and atoms, written as POSCAR:
```
Sr2NdNbN4
1.0
-3.4716 3.5879 5.0274
3.4716 -3.5879 5.0274
3.4716 3.5879 -5.0274
Sr Nd Nb N
4 2 2 8
direct
0.0000 0.0000 0.0000 Sr
0.5000 0.0000 0.0000 Sr
0.5000 0.0000 0.5000 Sr
0.5000 0.5000 0.5000 Sr
0.0000 0.5000 0.5000 Nd
0.5000 0.5000 0.0000 Nd
0.0000 0.0000 0.5000 Nb
0.0000 0.5000 0.0000 Nb
0.2066 0.7469 0.4597 N
0.2134 0.2242 0.5107 N
0.2128 0.2531 0.9597 N
0.2134 0.7027 0.9893 N
0.7866 0.2973 0.0107 N
0.7872 0.7469 0.0403 N
0.7866 0.7758 0.4893 N
0.7934 0.2531 0.5403 N
```

Values from the calculation:
- Space-group type: No. 74
- Formation energy from raw total energies: -7.398 eV per formula unit


The following is a DFT calculation (PBE) of Nd2TaNbN5 after structural relaxation.

Cell and atoms, written as POSCAR:
```
Nd2TaNbN5
1.0
1.6947 -6.7700 0.0000
1.6947 6.7700 0.0000
0.0000 0.0000 10.7064
Nd Ta Nb N
4 2 2 10
direct
0.1069 0.8931 0.5000 Nd
0.1461 0.8539 0.0980 Nd
0.8539 0.1461 0.5980 Nd
0.8931 0.1069 0.0000 Nd
0.2238 0.7762 0.8222 Ta
0.7762 0.2238 0.3222 Ta
0.4698 0.5302 0.2702 Nb
0.5302 0.4698 0.7702 Nb
0.0554 0.9446 0.8628 N
0.2793 0.7207 0.4517 N
0.3147 0.6853 0.1959 N
0.3696 0.6304 0.8118 N
0.4922 0.5078 0.5948 N
0.5078 0.4922 0.0948 N
0.6304 0.3696 0.3118 N
0.6853 0.3147 0.6959 N
0.7207 0.2793 0.9517 N
0.9446 0.0554 0.3628 N
```

Values from the calculation:
- Space-group type: No. 36
- Formation energy from raw total energies: -10.832 eV per formula unit


The following is a DFT calculation (PBE) of NdTaNbN3 after structural relaxation.

Cell and atoms, written as POSCAR:
```
NdTaNbN3
1.0
5.6854 0.0000 0.0000
0.0000 3.2155 0.0000
-1.8989 0.0000 8.2704
Nd Ta Nb N
2 2 2 6
direct
0.1431 0.2500 0.1922 Nd
0.8569 0.7500 0.8078 Nd
0.2670 0.7500 0.5500 Ta
0.7330 0.2500 0.4500 Ta
0.3809 0.2500 0.8619 Nb
0.6191 0.7500 0.1381 Nb
0.0623 0.2500 0.6428 N
0.2482 0.7500 0.9903 N
0.4681 0.7500 0.3585 N
0.5319 0.2500 0.6415 N
0.7518 0.2500 0.0097 N
0.9377 0.7500 0.3572 N
```

Values from the calculation:
- Space-group type: No. 11
- Formation energy from raw total energies: -7.297 eV per formula unit


The following is a DFT calculation (PBE) of Tb2NdNbN4 after structural relaxation.

Cell and atoms, written as POSCAR:
```
Tb2NdNbN4
1.0
1.7166 -6.0114 0.0000
1.7166 6.0114 0.0000
0.0000 0.0000 12.1852
Tb Nd Nb N
4 2 2 8
direct
0.1296 0.8704 0.5352 Tb
0.1296 0.8704 0.9648 Tb
0.8704 0.1296 0.0352 Tb
0.8704 0.1296 0.4648 Tb
0.4010 0.5990 0.7500 Nd
0.5990 0.4010 0.2500 Nd
0.3384 0.6616 0.2500 Nb
0.6616 0.3384 0.7500 Nb
0.0548 0.9452 0.7500 N
0.2391 0.7609 0.1222 N
0.2391 0.7609 0.3778 N
0.5000 0.5000 0.0000 N
0.5000 0.5000 0.5000 N
0.7609 0.2391 0.6222 N
0.7609 0.2391 0.8778 N
0.9452 0.0548 0.2500 N
```

Values from the calculation:
- Space-group type: No. 63
- Formation energy from raw total energies: -9.897 eV per formula unit


The following is a DFT calculation (PBE) of Nd2ThNbN4 after structural relaxation.

Cell and atoms, written as POSCAR:
```
Nd2ThNbN4
1.0
6.0675 0.0000 0.0000
0.0000 3.4835 0.0000
-1.9445 0.0000 5.7780
Nd Th Nb N
2 1 1 4
direct
0.0000 0.0000 0.0000 Nd
0.5000 0.5000 0.0000 Nd
0.0000 0.5000 0.5000 Th
0.5000 0.0000 0.5000 Nb
0.2671 0.0000 0.7203 N
0.2802 0.5000 0.2880 N
0.7198 0.5000 0.7120 N
0.7329 0.0000 0.2797 N
```

Values from the calculation:
- Space-group type: No. 10
- Formation energy from raw total energies: -10.167 eV per formula unit


The following is a DFT calculation (PBE) of Nd2TiNbN5 after structural relaxation.

Cell and atoms, written as POSCAR:
```
Nd2TiNbN5
1.0
1.6786 -6.7585 0.0000
1.6786 6.7585 0.0000
0.0000 0.0000 10.5719
Nd Ti Nb N
4 2 2 10
direct
0.1056 0.8944 0.5000 Nd
0.1393 0.8607 0.1014 Nd
0.8607 0.1393 0.6014 Nd
0.8944 0.1056 0.0000 Nd
0.4719 0.5281 0.2723 Ti
0.5281 0.4719 0.7723 Ti
0.2201 0.7799 0.8185 Nb
0.7799 0.2201 0.3185 Nb
0.0543 0.9457 0.8572 N
0.2795 0.7205 0.4596 N
0.3129 0.6871 0.2008 N
0.3684 0.6316 0.8081 N
0.4969 0.5031 0.5976 N
0.5031 0.4969 0.0976 N
0.6316 0.3684 0.3081 N
0.6871 0.3129 0.7008 N
0.7205 0.2795 0.9596 N
0.9457 0.0543 0.3572 N
```

Values from the calculation:
- Space-group type: No. 36
- Formation energy from raw total energies: -11.408 eV per formula unit


The following is a DFT calculation (PBE) of NdTm2NbN4 after structural relaxation.

Cell and atoms, written as POSCAR:
```
NdTm2NbN4
1.0
1.6950 -5.9302 0.0000
1.6950 5.9302 0.0000
0.0000 0.0000 12.0006
Nd Tm Nb N
2 4 2 8
direct
0.1015 0.8985 0.7500 Nd
0.8985 0.1015 0.2500 Nd
0.3707 0.6293 0.5345 Tm
0.3707 0.6293 0.9655 Tm
0.6293 0.3707 0.0345 Tm
0.6293 0.3707 0.4655 Tm
0.1599 0.8401 0.2500 Nb
0.8401 0.1599 0.7500 Nb
0.0000 0.0000 0.0000 N
0.0000 0.0000 0.5000 N
0.2587 0.7413 0.1181 N
0.2587 0.7413 0.3819 N
0.4477 0.5523 0.7500 N
0.5523 0.4477 0.2500 N
0.7413 0.2587 0.6181 N
0.7413 0.2587 0.8819 N
```

Values from the calculation:
- Space-group type: No. 63
- Formation energy from raw total energies: -10.412 eV per formula unit


The following is a DFT calculation (PBE) of Nd2NbWN6 after structural relaxation.

Cell and atoms, written as POSCAR:
```
Nd2NbWN6
1.0
5.6623 0.0000 0.0000
0.0000 5.7423 0.0000
-5.6430 0.0000 8.0309
Nd Nb W N
4 2 2 12
direct
0.2421 0.0434 0.2501 Nd
0.2421 0.4566 0.7501 Nd
0.7579 0.5434 0.2499 Nd
0.7579 0.9566 0.7499 Nd
0.5000 0.0000 0.0000 Nb
0.5000 0.5000 0.5000 Nb
0.0000 0.0000 0.5000 W
0.0000 0.5000 0.0000 W
0.1667 0.2170 0.9579 N
0.1667 0.2830 0.4579 N
0.2409 0.7086 0.9588 N
0.2409 0.7914 0.4588 N
0.3237 0.0165 0.7454 N
0.3237 0.4835 0.2454 N
0.6763 0.5165 0.7546 N
0.6763 0.9835 0.2546 N
0.7591 0.2086 0.5412 N
0.7591 0.2914 0.0412 N
0.8333 0.7170 0.5421 N
0.8333 0.7830 0.0421 N
```

Values from the calculation:
- Space-group type: No. 14
- Formation energy from raw total energies: -8.846 eV per formula unit


The following is a DFT calculation (PBE) of NbNi2N after structural relaxation.

Cell and atoms, written as POSCAR:
```
NbNi2N
1.0
5.3166 -1.4989 0.0000
5.3166 1.4989 0.0000
-2.0709 0.0000 5.7732
Nb Ni N
2 4 2
direct
0.0000 0.0000 0.0000 Nb
0.0255 0.0255 0.5159 Nb
0.3181 0.3181 0.1857 Ni
0.3420 0.3420 0.6361 Ni
0.6961 0.6961 0.3565 Ni
0.7248 0.7248 0.8242 Ni
0.5068 0.5068 0.2515 N
0.5367 0.5367 0.7787 N
```

Values from the calculation:
- Space-group type: No. 8
- Formation energy from raw total energies: -1.516 eV per formula unit


The following is a DFT calculation (PBE) of Nb3Ni2N after structural relaxation.

Cell and atoms, written as POSCAR:
```
Nb3Ni2N
1.0
6.8815 0.0000 0.0000
0.0000 6.8815 0.0000
0.0000 0.0000 6.8815
Nb Ni N
12 8 4
direct
0.0456 0.1250 0.7956 Nb
0.1250 0.7956 0.0456 Nb
0.2044 0.5456 0.3750 Nb
0.2956 0.4544 0.8750 Nb
0.3750 0.2044 0.5456 Nb
0.4544 0.8750 0.2956 Nb
0.5456 0.3750 0.2044 Nb
0.6250 0.7044 0.9544 Nb
0.7044 0.9544 0.6250 Nb
0.7956 0.0456 0.1250 Nb
0.8750 0.2956 0.4544 Nb
0.9544 0.6250 0.7044 Nb
0.0704 0.9296 0.4296 Ni
0.1796 0.1796 0.1796 Ni
0.3204 0.8204 0.6796 Ni
0.4296 0.0704 0.9296 Ni
0.5704 0.5704 0.5704 Ni
0.6796 0.3204 0.8204 Ni
0.8204 0.6796 0.3204 Ni
0.9296 0.4296 0.0704 Ni
0.1250 0.3750 0.6250 N
0.3750 0.6250 0.1250 N
0.6250 0.1250 0.3750 N
0.8750 0.8750 0.8750 N
```

Values from the calculation:
- Space-group type: No. 213
- Formation energy from raw total energies: -3.046 eV per formula unit


The following is a DFT calculation (PBE) of Nb2NiN after structural relaxation.

Cell and atoms, written as POSCAR:
```
Nb2NiN
1.0
1.4559 0.8406 7.7372
-1.4559 0.8406 7.7372
0.0000 -1.6812 7.7372
Nb Ni N
2 1 1
direct
0.1059 0.1059 0.1059 Nb
0.8941 0.8941 0.8941 Nb
0.0000 0.0000 0.0000 Ni
0.5000 0.5000 0.5000 N
```

Values from the calculation:
- Space-group type: No. 166
- Formation energy from raw total energies: -0.058 eV per formula unit